Computed, not measured: NbTe2Ir after structural relaxation at the PBE level of DFT.

Properties
Volume (Å³ per atom): 28.429
Uncorrected energy (eV/atom): -5.9328
Total magnetic moment (μB/cell): 1.74
Energy relative to the elements, uncorrected (eV/f.u.): 1.483

```
8
Lattice="-4.1263 0.0508 4.5604 4.0038 -2.9045 3.6550 2.0737 3.8727 5.9805" Properties=species:S:1:pos:R:3 pbc="T T T"
Nb -0.0613 -1.4269 4.1077
Nb 3.0081 -0.2293 6.8716
Ir 0.0000 0.0000 0.0000
Ir -1.0569 1.2483 7.3243
Te -1.6394 0.6378 4.8900
Te 2.5844 -0.8418 4.2618
Te 1.4323 1.8903 7.4958
Te 1.5251 0.3516 11.7441
```